Entry from the Alexandria database: a relaxed Pm3YCl crystal (GGA-PBE).

a = 5.4277 Å, b = 5.4277 Å, c = 5.4277 Å
α = 90.00°, β = 90.00°, γ = 90.00°
Last column: nearest neighbours and their distance in Å.
Element x y z (fractional)
Pm1 0.0000 0.0000 0.5000  2 Cl 2.71
Pm2 0.0000 0.5000 0.0000  2 Cl 2.71
Pm3 0.5000 0.0000 0.0000  2 Cl 2.71
Y1 0.5000 0.5000 0.5000  12 Pm 3.84
Cl1 0.0000 0.0000 0.0000  6 Pm 2.71

Values from the calculation:
Density: 5.81 g/cm3
Fermi-level density of states: 4.6 states/eV/cell
V: 159.9 Å³/cell
Calculated total energy: -0.1843 Ha/atom